First-principles (PBE) data for a geometry-optimized YHgSb structure, as listed in Alexandria.

```
YHgSb
1.0
-1.8358 2.2407 2.1539
-1.6545 -1.5781 -2.7933
-1.8747 -5.6973 4.3291
Hg Y Sb
1 1 1
direct
0.0000 0.0000 0.9951
0.3333 0.6667 0.6670
0.6667 0.3333 0.3379
```

energy above the lowest structure with this stoichiometry	0.995	eV per formula unit
energy	-3.86	eV per atom
formation energy from raw total energies	-0.228	eV per atom
density	8.2	g cm⁻³